MgZnH2Cl2O2 after structural relaxation, computed with PBE-GGA.

Computed properties:
The total energy is -34.9 eV/cell. The space-group type is P3m1 (156).

POSCAR file:
```
MgZnH2Cl2O2
1.0
3.370 0.000 0.000
-1.685 2.918 0.000
0.000 0.000 10.310
Cl H Mg O Zn
2 2 1 2 1
Cartesian
0.000 1.946 3.601
0.000 0.000 8.773
1.685 0.973 1.843
1.685 0.973 7.000
0.000 0.000 5.241
1.685 0.973 0.862
1.685 0.973 6.020
0.000 1.946 0.071
```



NdH4NCl4 after structural relaxation, computed with PBE-GGA.

Computed properties:
The calculation puts the total magnetic moment at 0.0001 μB per atom. The total energy is -93.2 eV/cell. The space-group type is I4_1/a (88).

POSCAR file:
```
NdH4NCl4
1.0
-3.595 3.595 6.771
3.595 -3.595 6.771
3.595 3.595 -6.771
Cl H N Nd
8 8 2 2
Cartesian
-1.901 2.016 5.136
2.016 -1.694 8.522
1.579 1.694 1.634
1.901 1.579 -1.751
1.694 2.016 5.020
2.016 1.901 8.405
1.579 5.289 1.751
5.495 1.579 -1.634
0.618 -0.588 6.179
0.588 0.618 7.363
3.007 -0.618 2.793
2.977 0.588 3.978
4.213 -0.588 3.978
4.183 0.618 2.793
3.007 2.977 0.592
2.977 4.183 -0.592
0.000 0.000 6.771
3.595 0.000 3.385
0.000 0.000 0.000
0.000 3.595 3.385
```



NiH8N2Cl6 after structural relaxation, computed with PBE-GGA.

Computed properties:
The calculation puts the total magnetic moment at 0.0001 μB per atom. The total energy is -69.6 eV/cell. The space-group type is Fm-3m (225).

POSCAR file:
```
NiH8N2Cl6
1.0
0.000 4.832 4.832
4.832 0.000 4.832
4.832 4.832 0.000
Cl H N Ni
6 8 2 1
Cartesian
2.244 4.832 4.832
4.832 2.244 4.832
4.832 4.832 7.419
4.832 4.832 2.244
4.832 7.419 4.832
7.419 4.832 4.832
1.820 1.820 3.012
3.012 1.820 1.820
3.012 3.012 3.012
1.820 3.012 1.820
6.651 7.844 7.844
7.844 6.651 7.844
6.651 6.651 6.651
7.844 7.844 6.651
2.416 2.416 2.416
7.248 7.248 7.248
0.000 0.000 0.000
```



H9PtN2ClO2 after structural relaxation, computed with PBE-GGA.

Computed properties:
The calculation puts the total magnetic moment at 0.0000 μB per atom. The total energy is -296.7 eV/cell. The space-group type is P2_1/c (14).

POSCAR file:
```
H9PtN2ClO2
1.0
-5.859 -4.213 2.521
-1.197 -0.639 -3.851
15.287 -10.537 -3.004
Cl H N O Pt
4 36 8 8 4
Cartesian
-2.403 -1.730 -2.443
2.863 -8.459 -0.799
5.367 -6.931 -3.535
10.633 -13.660 -1.891
-3.273 -3.675 -1.712
0.027 -1.535 -2.001
-0.143 -1.912 -0.402
-2.919 -4.855 -0.586
-2.352 -4.982 -2.178
0.713 -2.921 -1.439
2.743 -3.039 -3.575
0.296 -4.956 -0.699
1.241 -4.180 -3.034
-0.707 -5.969 0.033
0.099 -5.267 -2.751
-2.145 -7.076 0.779
-0.469 -7.383 -2.496
2.668 -5.283 -1.525
4.030 -4.987 -0.560
0.906 -8.115 -1.863
1.113 -8.291 0.947
3.808 -6.473 -1.284
4.421 -8.917 -3.050
7.117 -7.098 -5.281
7.324 -7.274 -2.471
4.200 -10.403 -3.774
5.562 -10.106 -2.809
8.699 -8.007 -1.838
10.375 -8.314 -5.113
8.131 -10.123 -1.583
8.937 -9.421 -4.367
6.988 -11.209 -1.300
7.934 -10.433 -3.635
5.487 -12.351 -0.759
7.517 -12.469 -2.895
10.582 -10.408 -2.156
11.149 -10.535 -3.748
8.372 -13.478 -3.932
8.203 -13.855 -2.333
11.503 -11.715 -2.622
0.523 -1.938 -1.194
-3.143 -4.690 -1.582
3.679 -5.458 -1.411
-0.086 -8.263 -2.120
8.316 -7.127 -2.214
4.550 -9.932 -2.923
11.373 -10.700 -2.752
7.707 -13.452 -3.140
1.895 -3.260 -4.074
-0.058 -5.183 0.203
0.870 -4.818 -2.311
-1.739 -7.091 -0.143
9.969 -8.299 -4.190
7.360 -10.572 -2.023
8.288 -10.207 -4.537
6.335 -12.130 -0.260
-3.650 -5.083 1.783
4.728 -4.776 -3.036
3.502 -10.613 -1.298
11.880 -10.307 -6.117
```



ReH2NCl4O after structural relaxation, computed with PBE-GGA.

Computed properties:
The calculation puts the total magnetic moment at 0.0000 μB per atom. The total energy is -179.5 eV/cell. The space-group type is Pnma (62).

POSCAR file:
```
ReH2NCl4O
1.0
10.968 0.000 0.000
0.000 11.152 0.000
0.000 0.000 5.496
Cl H N O Re
16 8 4 4 4
Cartesian
2.536 1.152 0.743
2.536 4.424 0.743
5.254 6.761 1.240
5.254 9.967 1.240
10.738 6.761 1.508
10.738 9.967 1.508
8.020 1.152 2.005
8.020 4.424 2.005
2.948 6.728 3.491
2.948 10.000 3.491
0.230 1.185 3.988
0.230 4.391 3.988
5.714 1.185 4.255
5.714 4.391 4.255
8.431 6.728 4.753
8.431 10.000 4.753
5.453 2.012 1.034
5.453 3.564 1.034
10.937 2.012 1.714
10.937 3.564 1.714
0.031 7.588 3.781
0.031 9.140 3.781
5.515 7.588 4.462
5.515 9.140 4.462
2.659 8.364 0.936
8.143 8.364 1.812
2.825 2.788 3.683
8.309 2.788 4.560
10.905 2.788 1.114
5.421 2.788 1.633
5.547 8.364 3.862
0.063 8.364 4.381
9.306 8.364 0.602
3.822 8.364 2.146
7.146 2.788 3.349
1.662 2.788 4.894
```



H8PdN2Cl6 after structural relaxation, computed with PBE-GGA.

Computed properties:
The total energy is -139.2 eV/cell. The space-group type is P2_1/c (14).

POSCAR file:
```
H8PdN2Cl6
1.0
-5.610 3.875 -0.946
-2.336 -4.513 -4.637
-4.646 -4.996 7.203
Cl H N Pd
12 16 4 2
Cartesian
-1.972 -0.053 -1.267
-3.043 -2.523 -3.619
-6.675 2.608 0.720
-5.278 -1.642 -0.950
-4.399 -2.509 2.153
-5.382 -4.808 -0.024
-7.210 -0.826 1.643
-8.192 -3.125 -0.533
-7.313 -3.992 2.570
-5.917 -8.242 0.900
-9.549 -3.111 5.239
-10.620 -5.581 2.886
-3.468 0.588 0.413
-2.487 -3.029 -1.425
-5.774 -3.185 -2.696
-7.109 -0.250 -1.526
-2.170 -2.816 0.233
-4.910 1.089 1.166
-4.048 -0.250 1.760
-3.176 -4.078 -0.295
-9.415 -1.556 1.915
-8.544 -5.384 -0.140
-10.421 -2.818 1.386
-7.681 -6.724 0.454
-5.482 -5.384 3.146
-6.818 -2.449 4.315
-10.104 -2.605 3.045
-9.123 -6.222 1.206
-3.966 0.688 1.320
-2.334 -3.513 -0.518
-4.648 -5.997 3.084
-8.626 -6.321 0.301
0.000 0.000 0.000
-6.296 -2.817 0.810
```



H24PdN8Cl2 after structural relaxation, computed with PBE-GGA.

Computed properties:
The total energy is -342.7 eV/cell. The space-group type is P2_1/c (14).

POSCAR file:
```
H24PdN8Cl2
1.0
7.440 0.000 0.000
0.000 9.904 0.000
-5.975 0.000 8.326
Cl H N Pd
4 48 16 2
Cartesian
3.339 1.561 1.881
1.115 6.513 2.282
0.351 3.391 6.044
-1.873 8.343 6.445
1.943 3.421 0.183
1.130 7.573 0.254
1.379 4.961 0.353
4.289 8.142 0.549
6.658 5.928 0.841
5.444 1.471 0.868
-0.581 2.241 1.336
4.546 5.104 1.519
3.169 7.764 1.687
4.008 9.172 1.774
3.651 3.756 1.995
1.492 0.327 2.045
2.962 5.279 2.118
0.802 8.708 2.168
0.446 4.221 2.390
1.284 2.812 2.476
-0.093 0.152 2.645
5.034 7.193 2.828
-0.990 6.423 3.295
-2.205 0.976 3.322
0.165 3.190 3.614
3.074 0.009 3.810
3.324 2.621 3.909
2.511 8.373 3.980
-1.045 1.531 4.346
-1.858 7.283 4.417
-1.609 9.895 4.516
1.301 6.714 4.712
3.670 8.927 5.004
2.456 3.481 5.031
-3.568 2.711 5.499
1.559 9.752 5.682
0.181 7.091 5.850
1.020 5.683 5.937
0.663 1.196 6.158
-1.496 4.625 6.209
-0.026 9.576 6.281
-2.185 6.147 6.332
-2.542 0.731 6.553
-1.703 2.140 6.639
-3.080 4.800 6.808
2.047 7.663 6.991
-3.978 8.433 7.459
-5.192 3.975 7.485
-2.823 1.762 7.778
0.087 4.943 7.974
0.336 2.331 8.072
-0.477 6.483 8.143
5.805 5.657 0.337
6.399 1.699 0.555
4.103 8.172 1.558
0.614 9.697 1.949
3.839 4.745 2.214
0.350 3.221 2.605
-1.946 6.651 3.608
-1.351 0.705 3.826
2.817 9.198 4.501
3.412 3.253 4.718
1.116 6.683 5.722
-2.374 5.158 6.112
0.852 0.206 6.378
-2.637 1.731 6.768
-4.933 8.205 7.771
-4.339 4.247 7.989
0.000 0.000 0.000
-2.987 4.952 4.163
```



SnH12PtN4Cl6 after structural relaxation, computed with PBE-GGA.

Computed properties:
The calculation puts the total magnetic moment at 0.0000 μB per atom. The total energy is -219.2 eV/cell. The space-group type is Cmce (64).

POSCAR file:
```
SnH12PtN4Cl6
1.0
0.255 -2.534 7.633
-3.809 -6.900 -1.622
9.150 -4.619 -1.839
Cl H N Pt Sn
12 24 8 2 2
Cartesian
0.167 -4.518 4.467
-0.348 -4.340 1.016
-1.411 -7.161 2.813
2.411 -3.476 -0.604
-0.080 -10.090 3.610
0.317 -7.803 -0.599
5.279 -6.250 4.771
5.677 -3.963 0.562
3.185 -10.577 4.776
7.008 -6.892 1.359
5.945 -9.713 3.157
5.430 -9.535 -0.295
-0.024 -1.557 2.108
-2.162 -7.232 5.724
-1.776 -5.511 -0.626
-2.516 -7.476 0.626
1.341 -1.865 1.200
-1.179 -8.554 5.462
2.022 -4.556 2.170
0.988 -7.301 3.919
3.084 -4.755 3.433
2.344 -6.720 4.685
3.668 -4.561 1.904
2.252 -8.320 4.299
3.345 -5.733 -0.127
1.929 -9.492 2.269
3.253 -7.333 -0.513
2.513 -9.298 0.739
4.609 -6.752 0.253
3.575 -9.497 2.002
6.776 -5.499 -1.290
4.256 -12.188 2.972
8.113 -6.577 3.546
7.373 -8.542 4.798
7.758 -6.821 -1.552
5.621 -12.496 2.064
0.737 -1.116 1.569
-1.922 -8.175 6.068
2.910 -5.000 2.448
2.015 -7.375 3.961
3.582 -6.678 0.211
2.687 -9.053 1.724
7.519 -5.878 -1.895
4.860 -12.937 2.603
0.000 0.000 0.000
2.798 -7.026 2.086
-1.777 -4.717 3.006
4.575 -2.309 -0.920
```



ReH8N2Cl6 after structural relaxation, computed with PBE-GGA.

Computed properties:
The calculation puts the total magnetic moment at 0.1765 μB per atom. The total energy is -78.0 eV/cell. The space-group type is Fm-3m (225).

POSCAR file:
```
ReH8N2Cl6
1.0
3.192 -3.044 5.455
3.256 3.940 4.804
-2.705 0.625 6.442
Cl H N Re
6 8 2 1
Cartesian
2.561 -1.227 6.838
2.594 2.421 6.498
4.262 0.832 9.347
-0.519 0.690 7.354
1.148 -0.900 10.203
1.181 2.748 9.863
1.813 0.321 3.629
0.377 -0.478 4.024
1.161 0.472 5.181
0.392 1.205 3.867
2.581 1.049 11.520
3.351 0.316 12.834
3.366 1.999 12.677
1.930 1.200 13.072
0.936 0.380 4.175
2.807 1.141 12.526
0.000 0.000 0.000
```



Ta2H15N6Cl7 after structural relaxation, computed with PBE-GGA.

Computed properties:
The calculation puts the total magnetic moment at 0.0001 μB per atom. The total energy is -314.6 eV/cell. The space-group type is Cmcm (63).

POSCAR file:
```
Ta2H15N6Cl7
1.0
3.834 8.970 5.651
-9.930 -1.010 -5.241
-3.190 -2.782 6.581
Cl H N Ta
14 30 12 4
Cartesian
-1.474 1.925 0.099
-4.622 6.036 0.311
-6.526 1.450 -2.377
0.163 3.000 3.673
-2.979 7.104 3.885
-5.030 2.426 0.913
-8.002 0.163 0.667
-3.069 0.534 3.389
-6.217 4.645 3.601
-1.284 5.015 6.323
-4.257 2.752 6.077
-6.307 -1.926 3.106
-9.449 2.178 3.317
-2.760 3.728 9.368
1.938 7.578 4.472
-4.359 -0.486 -0.989
-7.755 3.949 -0.761
-2.952 3.982 1.595
1.923 7.467 6.415
-3.526 -0.312 0.485
-1.949 3.602 2.904
-2.990 4.962 2.974
-4.864 0.643 0.239
-6.739 3.090 0.365
-7.296 4.611 0.738
-3.626 3.394 2.986
-5.042 -1.082 0.421
-8.438 3.353 0.649
0.568 6.384 7.297
-9.854 -1.206 -0.307
-0.848 1.825 6.341
-4.244 6.260 6.570
-5.660 1.784 4.005
-1.990 0.567 6.252
-2.547 2.088 6.625
-4.422 4.536 6.751
-6.296 0.216 4.017
-7.337 1.576 4.087
-5.760 5.490 6.506
-11.209 -2.289 0.576
-6.335 1.196 5.395
-1.531 1.229 7.752
-4.927 5.664 7.980
-11.224 -2.400 2.519
-8.790 -0.216 -3.699
2.621 7.973 6.967
-4.450 -0.336 0.026
-2.869 3.993 2.623
-7.584 3.757 0.237
-9.937 -1.216 -1.334
0.650 6.394 8.324
-1.702 1.422 6.753
-6.417 1.186 4.368
-4.836 5.514 6.964
-11.907 -2.795 0.024
-0.496 5.394 10.689
0.000 0.000 0.000
-8.450 -0.054 -1.794
-1.595 -1.391 3.290
-0.836 5.232 8.784
```